Entry 1:
VASP calculation (meta-GGA SCAN) on a PBEsol-optimized structure of Ti2AlCrIn.

Summary:
E_form: 0.854 eV per atom
space-group type: P4/mmm, No. 123

abc: 4.704 4.704 4.827
angles: 90.00 90.00 90.00
Element x y z (fractional)
Ti1 0.000 0.500 0.000
Ti2 0.500 0.000 0.000
Al1 0.000 0.000 0.000
Cr1 0.500 0.500 0.500
In1 0.000 0.000 0.500



Entry 2:
VASP calculation (meta-GGA SCAN) on a PBEsol-optimized structure of Al2CrIr.

Summary:
E_form: -0.422 eV per atom
space-group type: Immm, No. 71

abc: 4.983 4.983 4.983
angles: 146.62 124.98 65.90
Element x y z (fractional)
Al1 0.249 0.249 0.000
Al2 0.751 0.751 0.000
Cr1 0.500 0.000 0.500
Ir1 0.000 0.500 0.500



Entry 3:
VASP calculation (meta-GGA SCAN) on a PBEsol-optimized structure of AlCr2Ir.

Summary:
E_form: -0.566 eV per atom
space-group type: F-43m, No. 216

abc: 4.165 4.165 4.165
angles: 60.00 60.00 60.00
Element x y z (fractional)
Al1 0.000 0.000 0.000
Cr1 0.500 0.500 0.500
Cr2 0.750 0.750 0.750
Ir1 0.250 0.250 0.250



Entry 4:
VASP calculation (meta-GGA SCAN) on a PBEsol-optimized structure of AlCr2Ir.

Summary:
E_form: 0.007 eV per atom
space-group type: R-3m, No. 166

abc: 8.634 8.634 8.634
angles: 17.63 17.63 17.63
Element x y z (fractional)
Al1 0.000 0.000 0.000
Cr1 0.249 0.249 0.249
Cr2 0.751 0.751 0.751
Ir1 0.500 0.500 0.500



Entry 5:
VASP calculation (meta-GGA SCAN) on a PBEsol-optimized structure of Al2CrIr.

Summary:
E_form: -0.448 eV per atom
space-group type: P2/m, No. 10

abc: 2.743 4.093 4.916
angles: 90.00 95.70 90.00
Element x y z (fractional)
Al1 0.220 0.000 0.248
Al2 0.780 0.000 0.752
Cr1 0.500 0.500 0.000
Ir1 0.000 0.500 0.500



Entry 6:
VASP calculation (meta-GGA SCAN) on a PBEsol-optimized structure of AlCrTc2Ir.

Summary:
E_form: 1.171 eV per atom
space-group type: P4/mmm, No. 123

abc: 4.243 4.243 4.376
angles: 90.00 90.00 90.00
Element x y z (fractional)
Al1 0.000 0.000 0.000
Cr1 0.000 0.000 0.500
Tc1 0.000 0.500 0.500
Tc2 0.500 0.000 0.500
Ir1 0.500 0.500 0.000



Entry 7:
VASP calculation (meta-GGA SCAN) on a PBEsol-optimized structure of KAlCr2.

Summary:
E_form: 0.746 eV per atom
space-group type: I-4m2, No. 119

abc: 4.775 4.775 4.775
angles: 118.62 118.62 92.42
Element x y z (fractional)
K1 0.000 0.000 0.000
Al1 0.750 0.250 0.500
Cr1 0.250 0.750 0.500
Cr2 0.500 0.500 0.000



Entry 8:
VASP calculation (meta-GGA SCAN) on a PBEsol-optimized structure of KAlCr2.

Summary:
E_form: 0.531 eV per atom
space-group type: Cm, No. 8

abc: 4.169 4.169 7.576
angles: 93.84 93.84 39.10
Element x y z (fractional)
K1 0.000 0.000 0.000
Al1 0.231 0.231 0.643
Cr1 0.497 0.497 0.459
Cr2 0.770 0.770 0.355



- Which value of E_form does entry 4 give?
  0.007 eV per atom